First-principles (SCAN) data for TbCuSi at its PBEsol-relaxed geometry, as listed in Alexandria via LeMat-Bulk.

- Raw formation energy: -0.67 eV/atom
- Calculated density: 7.7 g/cm3
- D(E_F): 1.75 states/eV/cell

Unit cell a=4.090 b=4.090 c=3.727 alpha=90.00 beta=90.00 gamma=120.00
Fractional coordinates of all 3 atoms:
1 Tb 0.000 0.000 0.000
2 Cu 0.667 0.333 0.500
3 Si 0.333 0.667 0.500

First-principles (SCAN) data for TbCuSi at its PBEsol-relaxed geometry, as listed in Alexandria via LeMat-Bulk.

- Raw formation energy: -0.71 eV/atom
- Calculated density: 7.7 g/cm3
- D(E_F): 1.46 states/eV/cell

Unit cell a=4.106 b=4.106 c=7.418 alpha=90.00 beta=90.00 gamma=120.00
Fractional coordinates of all 6 atoms:
1 Tb 0.000 0.000 0.000
2 Tb 0.000 0.000 0.500
3 Cu 0.333 0.667 0.250
4 Cu 0.667 0.333 0.750
5 Si 0.333 0.667 0.750
6 Si 0.667 0.333 0.250